# 1
A plane-wave DFT calculation with PBE was carried out for In2TeOs after structural relaxation.

Computed properties:
Uncorrected formation energy   0.52 eV per atom
Calculated volume   94.4 Å³ per cell
Total DFT energy (no corrections)   -17.779 eV/cell

Cell lengths 3.1910, 3.1910, 10.6804 Å; angles 90.00, 90.00, 119.79 degrees
Fractional positions:
In (0.5000, 0.5000, 0.2849)
In (0.0000, 0.0000, 0.0227)
Os (0.0000, 0.0000, 0.4988)
Te (0.5000, 0.5000, 0.6936)

# 2
A plane-wave DFT calculation with PBE was carried out for In2TeOs after structural relaxation.

Computed properties:
Uncorrected formation energy   0.71 eV per atom
Calculated volume   86.6 Å³ per cell
Total DFT energy (no corrections)   -16.992 eV/cell

Cell lengths 4.7683, 4.7683, 3.8079 Å; angles 90.00, 90.00, 90.00 degrees
Each line ends with the local moment (μB).
Fractional positions:
Te (0.0000, 0.5000, 0.5000)  -0.01
In (0.5000, 0.5000, 0.0000)  0.00
In (0.0000, 0.0000, 0.0000)  0.00
Os (0.5000, 0.0000, 0.5000)  0.34

# 3
A plane-wave DFT calculation with PBE was carried out for In2TeOs after structural relaxation.

Computed properties:
Uncorrected formation energy   0.73 eV per atom
Calculated volume   85.8 Å³ per cell
Total DFT energy (no corrections)   -16.935 eV/cell

Cell lengths 3.4042, 5.0610, 4.9809 Å; angles 90.00, 90.00, 90.00 degrees
Fractional positions:
In (0.0000, 0.0000, 0.0000)
In (0.5000, 0.5000, 0.0000)
Te (0.0000, 0.5000, 0.5000)
Os (0.5000, 0.0000, 0.5000)

# 4
A plane-wave DFT calculation with PBE was carried out for In2TeOs after structural relaxation.

Computed properties:
Uncorrected formation energy   0.67 eV per atom
Calculated volume   85.1 Å³ per cell
Total DFT energy (no corrections)   -17.160 eV/cell

Cell lengths 6.9809, 5.1330, 3.3811 Å; angles 90.22, 60.65, 121.24 degrees
Fractional positions:
Te (0.5000, 0.5000, 0.0000)
In (0.0000, 0.0000, 0.0000)
In (0.5000, 0.0000, 0.5000)
Os (0.0000, 0.5000, 0.5000)

# 5
A plane-wave DFT calculation with PBE was carried out for In2TeOs after structural relaxation.

Computed properties:
Uncorrected formation energy   0.52 eV per atom
Calculated volume   89.5 Å³ per cell
Total DFT energy (no corrections)   -17.788 eV/cell

Cell lengths 10.3119, 10.3119, 10.3119 Å; angles 17.81, 17.81, 17.81 degrees
Fractional positions:
Os (0.2500, 0.2500, 0.2500)
In (0.9852, 0.9852, 0.9852)
In (0.5148, 0.5148, 0.5148)
Te (0.7500, 0.7500, 0.7500)

# 6
A plane-wave DFT calculation with PBE was carried out for In2TeOs after structural relaxation.

Computed properties:
Uncorrected formation energy   0.24 eV per atom
Calculated volume   95.6 Å³ per cell
Total DFT energy (no corrections)   -18.886 eV/cell

Cell lengths 7.1155, 7.1155, 7.1155 Å; angles 154.30, 142.13, 46.33 degrees
Fractional positions:
Os (0.4904, 0.4904, 0.0000)
In (0.0042, 0.0042, 0.0000)
In (0.6805, 0.1805, 0.5000)
Te (0.3248, 0.8248, 0.5000)

# 7
A plane-wave DFT calculation with PBE was carried out for InTe2Os after structural relaxation.

Computed properties:
Uncorrected formation energy   0.84 eV per atom
Calculated volume   88.4 Å³ per cell
Total DFT energy (no corrections)   -16.894 eV/cell

Cell lengths 5.2903, 5.2903, 5.2903 Å; angles 128.42, 128.42, 75.95 degrees
Fractional positions:
In (0.5000, 0.5000, 0.0000)
Te (0.2500, 0.7500, 0.5000)
Te (0.0000, 0.0000, 0.0000)
Os (0.7500, 0.2500, 0.5000)

# 8
A plane-wave DFT calculation with PBE was carried out for InTe2Os after structural relaxation.

Computed properties:
Uncorrected formation energy   0.15 eV per atom
Calculated volume   105.2 Å³ per cell
Total DFT energy (no corrections)   -19.641 eV/cell

Cell lengths 4.1092, 4.1092, 7.5677 Å; angles 74.25, 74.25, 60.06 degrees
Fractional positions:
Os (0.2500, 0.2500, 0.2500)
Te (0.9766, 0.9766, 0.0698)
Te (0.5234, 0.5234, 0.4302)
In (0.7500, 0.7500, 0.7500)

# 9
A plane-wave DFT calculation with PBE was carried out for In2TeOs after structural relaxation.

Computed properties:
Uncorrected formation energy   0.78 eV per atom
Calculated volume   266.5 Å³ per cell
Total DFT energy (no corrections)   -33.438 eV/cell

Cell lengths 6.4174, 6.4174, 7.9039 Å; angles 66.05, 66.05, 90.00 degrees
Fractional positions:
Os (0.0000, 0.0000, 0.0000)
Os (0.7500, 0.2500, 0.5000)
In (0.8750, 0.9243, 0.7500)
In (0.3750, 0.3257, 0.7500)
In (0.0757, 0.6250, 0.2500)
In (0.6743, 0.1250, 0.2500)
Te (0.2500, 0.7500, 0.5000)
Te (0.5000, 0.5000, 0.0000)

# 10
A plane-wave DFT calculation with PBE was carried out for InTe2Os after structural relaxation.

Computed properties:
Uncorrected formation energy   0.58 eV per atom
Calculated volume   97.0 Å³ per cell
Total DFT energy (no corrections)   -17.938 eV/cell

Cell lengths 3.1947, 3.1947, 10.6590 Å; angles 90.00, 90.00, 116.91 degrees
Fractional positions:
Te (0.0000, 0.0000, 0.9505)
Te (0.0000, 0.0000, 0.5495)
In (0.5000, 0.5000, 0.2500)
Os (0.5000, 0.5000, 0.7500)

# 11
A plane-wave DFT calculation with PBE was carried out for InTe2Os after structural relaxation.

Computed properties:
Uncorrected formation energy   0.28 eV per atom
Calculated volume   102.8 Å³ per cell
Total DFT energy (no corrections)   -19.119 eV/cell

Cell lengths 9.9069, 9.9069, 9.9069 Å; angles 20.34, 20.34, 20.34 degrees
Fractional positions:
Os (0.7500, 0.7500, 0.7500)
Te (0.0272, 0.0272, 0.0272)
Te (0.2357, 0.2357, 0.2357)
In (0.4870, 0.4870, 0.4870)

# 12
A plane-wave DFT calculation with PBE was carried out for InTe2Os after structural relaxation.

Computed properties:
Uncorrected formation energy   0.78 eV per atom
Calculated volume   88.4 Å³ per cell
Total DFT energy (no corrections)   -17.144 eV/cell

Cell lengths 5.1385, 5.1385, 3.3462 Å; angles 90.00, 90.00, 89.79 degrees
Fractional positions:
Te (0.5000, 0.5000, 0.0000)
Te (0.0000, 0.0000, 0.0000)
In (0.5000, 0.0000, 0.5000)
Os (0.0000, 0.5000, 0.5000)

# 13
A plane-wave DFT calculation with PBE was carried out for InTeOs after structural relaxation.

Computed properties:
Uncorrected formation energy   0.71 eV per atom
Calculated volume   67.5 Å³ per cell
E above lowest polymorph   312 meV/atom
Total DFT energy (no corrections)   -14.990 eV/cell

Cell lengths 8.3791, 8.0958, 3.1150 Å; angles 84.27, 74.02, 21.71 degrees
Fractional positions:
Os (0.6725, 0.6725, 0.3275)
Te (0.3041, 0.3041, 0.6959)
In (0.0235, 0.0235, 0.9765)

# 14
A plane-wave DFT calculation with PBE was carried out for InTe3Os after structural relaxation.

Computed properties:
Uncorrected formation energy   0.53 eV per atom
Calculated volume   151.0 Å³ per cell
E above lowest polymorph   0 meV/atom
Total DFT energy (no corrections)   -20.739 eV/cell

Cell lengths 5.3253, 5.3253, 5.3253 Å; angles 90.00, 90.00, 90.00 degrees
Fractional positions:
Te (0.5000, 0.0000, 0.0000)
Te (0.0000, 0.0000, 0.5000)
Te (0.0000, 0.5000, 0.0000)
Os (0.0000, 0.0000, 0.0000)
In (0.5000, 0.5000, 0.5000)

# 15
A plane-wave DFT calculation with PBE was carried out for InTeOs after structural relaxation.

Computed properties:
Uncorrected formation energy   0.40 eV per atom
Calculated volume   66.9 Å³ per cell
E above lowest polymorph   0 meV/atom
Total DFT energy (no corrections)   -15.924 eV/cell

Cell lengths 4.5576, 4.5576, 4.5576 Å; angles 60.00, 60.00, 60.00 degrees
Fractional positions:
Te (0.0000, 0.0000, 0.0000)
In (0.5000, 0.5000, 0.5000)
Os (0.2500, 0.2500, 0.2500)

# 16
A plane-wave DFT calculation with PBE was carried out for InTe2Os after structural relaxation.

Computed properties:
Uncorrected formation energy   0.30 eV per atom
Calculated volume   98.3 Å³ per cell
Total DFT energy (no corrections)   -19.041 eV/cell

Cell lengths 3.1993, 3.1992, 9.6043 Å; angles 90.00, 90.00, 90.00 degrees
Fractional positions:
Te (0.0000, 0.0000, 0.9176)
Te (0.5000, 0.5000, 0.2672)
In (0.0000, 0.0000, 0.5499)
Os (0.5000, 0.5000, 0.7652)

# 17
A plane-wave DFT calculation with PBE was carried out for In2TeOs after structural relaxation.

Computed properties:
Uncorrected formation energy   0.42 eV per atom
Calculated volume   91.5 Å³ per cell
Total DFT energy (no corrections)   -18.168 eV/cell

Cell lengths 4.3572, 4.1170, 5.4977 Å; angles 68.12, 90.00, 90.00 degrees
Fractional positions:
In (0.0000, 0.9782, 0.9258)
In (0.5000, 0.2695, 0.3343)
Te (0.5000, 0.5589, 0.7675)
Os (0.0000, 0.6934, 0.4725)

# 18
A plane-wave DFT calculation with PBE was carried out for In2TeOs after structural relaxation.

Computed properties:
Uncorrected formation energy   0.20 eV per atom
Calculated volume   98.4 Å³ per cell
Total DFT energy (no corrections)   -19.061 eV/cell

Cell lengths 5.2525, 5.2525, 6.5865 Å; angles 68.84, 68.84, 35.81 degrees
Fractional positions:
In (0.8089, 0.8089, 0.6334)
In (0.9905, 0.9905, 0.9793)
Te (0.1604, 0.1604, 0.2760)
Os (0.5402, 0.5402, 0.6113)

# 19
A plane-wave DFT calculation with PBE was carried out for InTeOs after structural relaxation.

Computed properties:
Uncorrected formation energy   0.44 eV per atom
Calculated volume   71.8 Å³ per cell
E above lowest polymorph   41 meV/atom
Total DFT energy (no corrections)   -15.802 eV/cell

Cell lengths 3.7115, 3.7115, 6.0159 Å; angles 90.00, 90.00, 120.00 degrees
Fractional positions:
Te (0.3333, 0.6667, 0.5942)
Os (0.6667, 0.3333, 0.3532)
In (0.0000, 0.0000, 0.0526)

# 20
A plane-wave DFT calculation with PBE was carried out for Th6InTe3Os2 after structural relaxation.

Computed properties:
Uncorrected formation energy   -0.75 eV per atom
Calculated volume   368.6 Å³ per cell
Total DFT energy (no corrections)   -88.105 eV/cell

Cell lengths 4.2792, 9.2036, 10.0193 Å; angles 106.62, 102.33, 90.00 degrees
Fractional positions:
Th (0.6697, 0.1313, 0.3393)
Th (0.9779, 0.7396, 0.9558)
Th (0.3208, 0.4379, 0.6415)
Th (0.3303, 0.8687, 0.6607)
Th (0.6792, 0.5621, 0.3585)
Th (0.0221, 0.2604, 0.0442)
Te (0.5000, 0.5000, 0.0000)
Te (0.1580, 0.8395, 0.3159)
Te (0.8420, 0.1605, 0.6841)
Os (0.1704, 0.3419, 0.3407)
Os (0.8296, 0.6581, 0.6593)
In (0.5000, 0.0000, 0.0000)